Rb2SnSbRu: optimized geometry, PBE-GGA.

Lattice parameters (Å, degrees): 7.1134 7.1134 5.4405 90.00 90.00 90.00
Atoms (fractional coordinates):
Rb (0.0000, 0.5000, 0.0000)
Rb (0.5000, 0.0000, 0.0000)
Sn (0.0000, 0.0000, 0.0000)
Sb (0.0000, 0.0000, 0.5000)
Ru (0.5000, 0.5000, 0.5000)

## Properties
Formation energy (no corrections) ... 1162 meV/atom
V ... 55.1 A^3/atom
Space-group type ... P4/mmm, No. 123
Energy ... -13.53 eV/f.u.
Theoretical density ... 3.1 g/cm3
N(E_F) ... 0.980 states/eV per atom